Entry 1:
Compound: Dy2MgAl
Source: Alexandria
Functional: PBE
Structure: relaxed

Cell and atoms, written as CIF:
```
data_Dy2MgAl
_symmetry_space_group_name_H-M 'P 1'
_symmetry_Int_Tables_number 1
_symmetry_space_group_name_Hall 'P 1'
_cell_length_a 5.1950
_cell_length_b 5.1950
_cell_length_c 5.1950
_cell_angle_alpha 60.00
_cell_angle_beta 60.00
_cell_angle_gamma 60.00
loop_
_atom_site_label
_atom_site_type_symbol
_atom_site_fract_x
_atom_site_fract_y
_atom_site_fract_z
_atom_site_occupancy
Dy1 Dy 0.2500 0.2500 0.2500 1
Dy2 Dy 0.7500 0.7500 0.7500 1
Mg1 Mg 0.0000 0.0000 0.0000 1
Al1 Al 0.5000 0.5000 0.5000 1
```

The spin magnetization is 0.0000 μB/atom. As for the formation energy from the elements: -273.2 meV per atom. Its energy above the lowest structure with this stoichiometry is 0.000 eV/f.u. The density of states at the Fermi level comes out at 2.2 states/eV/f.u. The space group is Fm-3m, No. 225.

***

Entry 2:
Compound: DyMgAl2
Source: Alexandria
Functional: PBE
Structure: relaxed

Cell and atoms, written as CIF:
```
data_DyMgAl2
_symmetry_space_group_name_H-M 'P 1'
_symmetry_Int_Tables_number 1
_symmetry_space_group_name_Hall 'P 1'
_cell_length_a 5.6261
_cell_length_b 5.6261
_cell_length_c 5.6261
_cell_angle_alpha 47.84
_cell_angle_beta 47.84
_cell_angle_gamma 47.84
loop_
_atom_site_label
_atom_site_type_symbol
_atom_site_fract_x
_atom_site_fract_y
_atom_site_fract_z
_atom_site_occupancy
Dy1 Dy 0.0000 0.0000 0.0000 1
Mg1 Mg 0.5000 0.5000 0.5000 1
Al1 Al 0.2182 0.2182 0.2182 1
Al2 Al 0.7818 0.7818 0.7818 1
```

The spin magnetization is 0.0000 μB/atom. As for the formation energy from the elements: -169.5 meV per atom. Its energy above the lowest structure with this stoichiometry is 0.629 eV/f.u. The density of states at the Fermi level comes out at 2.2 states/eV/f.u. The space group is R-3m, No. 166.

***

Entry 3:
Compound: Dy2Mg2Al
Source: Alexandria
Functional: PBE
Structure: relaxed

Cell and atoms, written as CIF:
```
data_Dy2Mg2Al
_symmetry_space_group_name_H-M 'P 1'
_symmetry_Int_Tables_number 1
_symmetry_space_group_name_Hall 'P 1'
_cell_length_a 8.1344
_cell_length_b 8.1344
_cell_length_c 3.2935
_cell_angle_alpha 90.00
_cell_angle_beta 90.00
_cell_angle_gamma 145.28
loop_
_atom_site_label
_atom_site_type_symbol
_atom_site_fract_x
_atom_site_fract_y
_atom_site_fract_z
_atom_site_occupancy
Dy1 Dy 0.1035 0.8965 0.0000 1
Dy2 Dy 0.8965 0.1035 0.0000 1
Mg1 Mg 0.3000 0.7000 0.5000 1
Mg2 Mg 0.7000 0.3000 0.5000 1
Al1 Al 0.5000 0.5000 0.5000 1
```

The spin magnetization is 0.0000 μB/atom. As for the formation energy from the elements: -112.8 meV per atom. The density of states at the Fermi level comes out at 5.0 states/eV/f.u. The space group is Cmmm, No. 65.

***

Entry 4:
Compound: Dy3MgAl2
Source: Alexandria
Functional: PBE
Structure: relaxed

Cell and atoms, written as CIF:
```
data_Dy3MgAl2
_symmetry_space_group_name_H-M 'P 1'
_symmetry_Int_Tables_number 1
_symmetry_space_group_name_Hall 'P 1'
_cell_length_a 3.6302
_cell_length_b 3.6302
_cell_length_c 11.1783
_cell_angle_alpha 90.00
_cell_angle_beta 90.00
_cell_angle_gamma 90.00
loop_
_atom_site_label
_atom_site_type_symbol
_atom_site_fract_x
_atom_site_fract_y
_atom_site_fract_z
_atom_site_occupancy
Dy1 Dy 0.0000 0.0000 0.0000 1
Dy2 Dy 0.0000 0.0000 0.3204 1
Dy3 Dy 0.0000 0.0000 0.6796 1
Mg1 Mg 0.5000 0.5000 0.5000 1
Al1 Al 0.5000 0.5000 0.1634 1
Al2 Al 0.5000 0.5000 0.8366 1
```

The spin magnetization is 0.0000 μB/atom. As for the formation energy from the elements: -300.5 meV per atom. Its energy above the lowest structure with this stoichiometry is 0.101 eV/f.u. The density of states at the Fermi level comes out at 3.4 states/eV/f.u. The space group is P4/mmm, No. 123.

***

Entry 5:
Compound: Dy7MgAl5
Source: Alexandria
Functional: PBE
Structure: relaxed

Cell and atoms, written as CIF:
```
data_Dy7MgAl5
_symmetry_space_group_name_H-M 'P 1'
_symmetry_Int_Tables_number 1
_symmetry_space_group_name_Hall 'P 1'
_cell_length_a 7.9531
_cell_length_b 7.9531
_cell_length_c 7.9531
_cell_angle_alpha 133.97
_cell_angle_beta 100.83
_cell_angle_gamma 96.77
loop_
_atom_site_label
_atom_site_type_symbol
_atom_site_fract_x
_atom_site_fract_y
_atom_site_fract_z
_atom_site_occupancy
Dy1 Dy 0.0000 0.0000 0.0000 1
Dy2 Dy 0.3207 0.6509 0.6698 1
Dy3 Dy 0.3499 0.3499 0.0000 1
Dy4 Dy 0.4552 0.1390 0.3162 1
Dy5 Dy 0.8228 0.1390 0.6838 1
Dy6 Dy 0.8772 0.3772 0.5000 1
Dy7 Dy 0.9811 0.6509 0.3302 1
Mg1 Mg 0.6822 0.6822 0.0000 1
Al1 Al 0.1499 0.1334 0.4872 1
Al2 Al 0.1499 0.6626 0.0165 1
Al3 Al 0.3970 0.8970 0.5000 1
Al4 Al 0.6461 0.1334 0.9835 1
Al5 Al 0.6461 0.6626 0.5128 1
```

The spin magnetization is 0.0000 μB/atom. As for the formation energy from the elements: -198.3 meV per atom. The density of states at the Fermi level comes out at 9.5 states/eV/f.u. The space group is Imm2, No. 44.

***

Entry 6:
Compound: Dy5MgAl4
Source: Alexandria
Functional: PBE
Structure: relaxed

Cell and atoms, written as CIF:
```
data_Dy5MgAl4
_symmetry_space_group_name_H-M 'P 1'
_symmetry_Int_Tables_number 1
_symmetry_space_group_name_Hall 'P 1'
_cell_length_a 3.6268
_cell_length_b 3.6268
_cell_length_c 18.2749
_cell_angle_alpha 90.00
_cell_angle_beta 90.00
_cell_angle_gamma 90.00
loop_
_atom_site_label
_atom_site_type_symbol
_atom_site_fract_x
_atom_site_fract_y
_atom_site_fract_z
_atom_site_occupancy
Dy1 Dy 0.0000 0.0000 0.0000 1
Dy2 Dy 0.0000 0.0000 0.1949 1
Dy3 Dy 0.0000 0.0000 0.3905 1
Dy4 Dy 0.0000 0.0000 0.6095 1
Dy5 Dy 0.0000 0.0000 0.8051 1
Mg1 Mg 0.5000 0.5000 0.5000 1
Al1 Al 0.5000 0.5000 0.0972 1
Al2 Al 0.5000 0.5000 0.2946 1
Al3 Al 0.5000 0.5000 0.7054 1
Al4 Al 0.5000 0.5000 0.9028 1
```

The spin magnetization is 0.0000 μB/atom. As for the formation energy from the elements: -337.7 meV per atom. The density of states at the Fermi level comes out at 5.4 states/eV/f.u. The space group is P4/mmm, No. 123.